Entry 1:
Pr3TlP GGA-PBE optimized geometry; formation energy from the elements = -0.775 eV per atom; polymorph energy (0 for the lowest one) = 0 meV/atom
1.0
9.266 0.000 0.000
0.000 4.162 0.000
0.000 0.000 16.035
Pr Tl P
12 4 4
direct
0.027 0.250 0.107
0.160 0.250 0.516
0.187 0.750 0.293
0.313 0.250 0.793
0.340 0.750 0.016
0.473 0.750 0.607
0.527 0.250 0.393
0.660 0.250 0.984
0.687 0.750 0.207
0.813 0.250 0.707
0.840 0.750 0.484
0.973 0.750 0.893
0.099 0.750 0.681
0.401 0.250 0.181
0.599 0.750 0.819
0.901 0.250 0.319
0.168 0.250 0.946
0.332 0.750 0.446
0.668 0.250 0.554
0.832 0.750 0.054


Entry 2:
Al2Zn2Cu3 GGA-PBE optimized geometry; formation energy from the elements = -0.126 eV per atom
1.0
4.101 0.000 0.000
1.991 3.626 0.000
1.955 1.051 6.755
Al Zn Cu
2 2 3
direct
0.130 0.133 0.117
0.870 0.867 0.883
0.380 0.384 0.361
0.620 0.616 0.639
0.000 0.000 0.500
0.248 0.243 0.750
0.752 0.757 0.250


Entry 3:
Tb4YCo4 GGA-PBE optimized geometry; formation energy from the elements = -0.047 eV per atom
1.0
8.433 0.000 0.000
0.000 8.433 0.000
0.000 0.000 5.597
Tb Y Co
8 2 8
direct
0.061 0.674 0.132
0.174 0.939 0.632
0.326 0.561 0.632
0.439 0.826 0.132
0.561 0.174 0.868
0.674 0.439 0.368
0.826 0.061 0.368
0.939 0.326 0.868
0.250 0.250 0.250
0.750 0.750 0.750
0.014 0.611 0.614
0.111 0.986 0.114
0.389 0.514 0.114
0.486 0.889 0.614
0.514 0.111 0.386
0.611 0.486 0.886
0.889 0.014 0.886
0.986 0.389 0.386